A relaxed structure of Li2CrO3, computed with PBE+U.

Properties
Polymorph energy (0 for the lowest one) (eV per atom): 0.0747
Final energy (eV for the cell shown): -74.4

a b c (Å): 3.9517 9.4600 2.9658
angles (deg): 90.00 90.00 90.00
Closest atoms and distances in Å follow each position.
Space group Cmmm (No. 65)
Asymmetric unit:
Li1 0.0000 0.1544 0.0000 [4 per cell]  5 O 1.98-2.08
Cr1 0.0000 0.5000 0.5000 [2 per cell]  6 O 1.96-1.98
O1 0.0000 0.0000 0.5000 [2 per cell]  2 Cr 1.98, 4 Li 2.08
O2 0.0000 0.3652 0.0000 [4 per cell]  2 Cr 1.96, 3 Li 1.98-1.99